VASP calculation (GGA+U) on an optimized crystal structure of AcMnF5. Values from VASP.

The structure in Quantum ESPRESSO input format:
```
&SYSTEM
  ibrav = 0, nat = 14, ntyp = 3
/
ATOMIC_SPECIES
Ac 227.00 Ac.upf
Mn 54.94 Mn.upf
F 19.00 F.upf
CELL_PARAMETERS angstrom
4.791 -3.537 0.000
4.791 3.537 0.000
-3.224 0.000 7.692
ATOMIC_POSITIONS crystal
Ac 0.054 0.946 0.750
Ac 0.946 0.054 0.250
Mn 0.500 0.500 0.000
Mn 0.500 0.500 0.500
F 0.185 0.799 0.031
F 0.201 0.815 0.469
F 0.246 0.286 0.384
F 0.286 0.246 0.884
F 0.408 0.592 0.750
F 0.592 0.408 0.250
F 0.714 0.754 0.116
F 0.754 0.714 0.616
F 0.799 0.185 0.531
F 0.815 0.201 0.969
```

Results
E_tot in eV/cell: -91.0
Spin magnetization in μB per formula unit: 5.00
Crystal system: monoclinic